This record from the Alexandria database describes a geometry-optimized NiIr3 structure. The functional is PBEsol.

Geometry as POSCAR:
```
NiIr3
1.0
-1.8775 1.8775 7.5501
1.8775 -1.8775 7.5501
1.8775 1.8775 -7.5501
Ni Ir
2 6
Direct
0.1222 0.1222 0.0000
0.8778 0.8778 0.0000
0.0000 0.5000 0.5000
0.2500 0.7500 0.5000
0.3735 0.3735 0.0000
0.5000 0.0000 0.5000
0.6265 0.6265 0.0000
0.7500 0.2500 0.5000
```

Output
Calculated volume   13.3 Å³ per atom
DOS at the Fermi energy   11.7 states/eV per cell
Final energy   -8.84 eV per atom

This record from the Alexandria database describes a geometry-optimized NiIr2 structure. The functional is PBEsol.

Geometry as POSCAR:
```
NiIr2
1.0
3.9547 0.0000 0.0000
0.0000 3.9547 0.0000
0.0000 0.0000 2.7851
Ni Ir
1 2
Direct
0.0000 0.0000 0.0000
0.0000 0.5000 0.5000
0.5000 0.0000 0.5000
```

Output
Calculated volume   14.5 Å³ per atom
DOS at the Fermi energy   4.1 states/eV per cell
Final energy   -7.92 eV per atom

This record from the Alexandria database describes a geometry-optimized NiIr2 structure. The functional is PBEsol.

Geometry as POSCAR:
```
NiIr2
1.0
-1.3411 1.3411 5.3954
1.3411 -1.3411 5.3954
1.3411 1.3411 -5.3954
Ni Ir
1 2
Direct
0.0000 0.0000 0.0000
0.3366 0.3366 0.0000
0.6634 0.6634 0.0000
```

Output
Calculated volume   12.9 Å³ per atom
DOS at the Fermi energy   3.8 states/eV per cell
Final energy   -8.56 eV per atom

Calculated formation energy readings, ordered: 0.277 2.042 0.113 eV/f.u.
Magnetic moment readings, ordered: 0.215 0.000 0.000 μB/atom